i:
The following is a PBE calculation of a relaxed structure of ReAsPtO, from OQMD via LeMat-Bulk.

Properties
Magnetic moment, μB/atom: 0.006
Density, g/cm³: 14.82

```
8
Lattice="3.8745 0.0000 0.0000 0.0000 3.8745 0.0000 0.0000 0.0000 7.0468" Properties=species:S:1:pos:R:3 pbc="T T T"
As 2.9059 2.9059 1.7992
As 0.9686 0.9686 5.2477
O 2.9059 0.9686 0.0000
O 0.9686 2.9059 0.0000
Pt 2.9059 0.9686 3.5234
Pt 0.9686 2.9059 3.5234
Re 0.9686 0.9686 1.2041
Re 2.9059 2.9059 5.8428
```

ii:
The following is a PBE calculation of a relaxed structure of ReAsPtO, from OQMD via LeMat-Bulk.

Properties
Magnetic moment, μB/atom: 0.001
Density, g/cm³: 14.54

```
8
Lattice="4.0291 0.0000 0.0000 0.0000 4.0291 0.0000 0.0000 0.0000 6.6428" Properties=species:S:1:pos:R:3 pbc="T T T"
As 0.0000 2.0146 1.7158
As 2.0146 0.0000 4.9270
O 0.0000 0.0000 0.0000
O 2.0146 2.0146 0.0000
Pt 2.0146 0.0000 1.3983
Pt 0.0000 2.0146 5.2445
Re 0.0000 0.0000 3.3214
Re 2.0146 2.0146 3.3214
```

iii:
The following is a PBE calculation of a relaxed structure of ReAsPtO, from OQMD via LeMat-Bulk.

Properties
Magnetic moment, μB/atom: 0.000
Density, g/cm³: 13.46

```
8
Lattice="3.5807 0.0000 0.0000 0.0000 6.3246 0.0000 0.0000 0.0000 5.1438" Properties=species:S:1:pos:R:3 pbc="T T T"
As 0.0000 4.8064 1.9683
As 0.0000 1.5182 4.5402
O 1.7903 0.5735 2.1498
O 1.7903 5.7511 4.7217
Pt 1.7903 2.9053 0.3022
Pt 1.7903 3.4193 2.8741
Re 0.0000 1.2734 2.0301
Re 0.0000 5.0512 4.6021
```

iv:
The following is a PBE calculation of a relaxed structure of ReAsPtO, from OQMD via LeMat-Bulk.

Properties
Magnetic moment, μB/atom: 0.000
Density, g/cm³: 10.61

```
8
Lattice="3.8084 0.0000 0.0000 0.0000 5.3225 0.0000 0.0000 0.0000 7.2946" Properties=species:S:1:pos:R:3 pbc="T T T"
As 0.0000 4.1479 2.9844
As 0.0000 1.1745 6.6317
O 1.9042 2.1919 1.8496
O 1.9042 3.1305 5.4969
Pt 0.0000 4.4103 0.5575
Pt 0.0000 0.9122 4.2048
Re 1.9042 2.8018 0.1086
Re 1.9042 2.5206 3.7559
```

Energetically preferred structure: iii | next structure: +51 meV per atom